No. 1
# CaMn2Fe | Alexandria via LeMat-Bulk | GGA-PBE | relaxed
# * energy of formation from the pure elements: 1.8 eV/f.u.
# * energy relative to the lowest polymorph listed for this composition: 107 meV/atom
data_CaMn2Fe
_chemical_formula_sum 'Ca1 Mn2 Fe1'
_space_group_name_H-M_alt 'P 4/m m m'
_space_group_IT_number 123
_space_group_name_Hall '-P 4 2'
_cell_length_a 3.041
_cell_length_b 3.041
_cell_length_c 7.269
_cell_angle_alpha 90.00
_cell_angle_beta 90.00
_cell_angle_gamma 90.00
loop_
_atom_site_label
_atom_site_type_symbol
_atom_site_fract_x
_atom_site_fract_y
_atom_site_fract_z
Ca1 Ca 0.000 0.000 0.000
Mn1 Mn 0.500 0.500 0.323
Fe1 Fe 0.000 0.000 0.500

No. 2
# MnAgGe3 | Alexandria via LeMat-Bulk | GGA-PBE | relaxed
# * energy of formation from the pure elements: 1.3 eV/f.u.
# * energy relative to the lowest polymorph listed for this composition: 0 meV/atom
data_MnAgGe3
_chemical_formula_sum 'Mn1 Ag1 Ge3'
_space_group_name_H-M_alt 'P m -3 m'
_space_group_IT_number 221
_space_group_name_Hall '-P 4 2 3'
_cell_length_a 4.608
_cell_length_b 4.608
_cell_length_c 4.608
_cell_angle_alpha 90.00
_cell_angle_beta 90.00
_cell_angle_gamma 90.00
loop_
_atom_site_label
_atom_site_type_symbol
_atom_site_fract_x
_atom_site_fract_y
_atom_site_fract_z
Mn1 Mn 0.000 0.000 0.000
Ag1 Ag 0.500 0.500 0.500
Ge1 Ge 0.000 0.000 0.500

No. 3
# NaBeOs2Br | Alexandria via LeMat-Bulk | GGA-PBE | relaxed
# * raw formation energy: 2.03 eV/atom
data_NaBeOs2Br
_chemical_formula_sum 'Na1 Be1 Os2 Br1'
_space_group_name_H-M_alt 'P 4/m m m'
_space_group_IT_number 123
_space_group_name_Hall '-P 4 2'
_cell_length_a 4.594
_cell_length_b 4.594
_cell_length_c 4.820
_cell_angle_alpha 90.00
_cell_angle_beta 90.00
_cell_angle_gamma 90.00
loop_
_atom_site_label
_atom_site_type_symbol
_atom_site_fract_x
_atom_site_fract_y
_atom_site_fract_z
Na1 Na 0.000 0.000 0.000
Be1 Be 0.500 0.500 0.000
Os1 Os 0.000 0.500 0.500
Br1 Br 0.000 0.000 0.500

No. 4
# CuAgBiS3 | Alexandria via LeMat-Bulk | GGA-PBE | relaxed
# * raw formation energy: -0.14 eV/atom
data_CuAgBiS3
_chemical_formula_sum 'Cu2 Ag2 Bi2 S6'
_space_group_name_H-M_alt 'P 1 21/m 1'
_space_group_IT_number 11
_space_group_name_Hall '-P 2yb'
_cell_length_a 8.540
_cell_length_b 3.889
_cell_length_c 8.547
_cell_angle_alpha 90.00
_cell_angle_beta 108.63
_cell_angle_gamma 90.00
loop_
_atom_site_label
_atom_site_type_symbol
_atom_site_fract_x
_atom_site_fract_y
_atom_site_fract_z
Cu1 Cu 0.092 0.250 0.093
Ag1 Ag 0.336 0.750 0.327
Bi1 Bi 0.202 0.250 0.685
S1 S 0.055 0.250 0.357
S2 S 0.200 0.750 0.023
S3 S 0.412 0.750 0.634

What did the second record say?
# MnAgGe3 | Alexandria via LeMat-Bulk | GGA-PBE | relaxed
# * energy of formation from the pure elements: 1.3 eV/f.u.
# * energy relative to the lowest polymorph listed for this composition: 0 meV/atom
data_MnAgGe3
_chemical_formula_sum 'Mn1 Ag1 Ge3'
_space_group_name_H-M_alt 'P m -3 m'
_space_group_IT_number 221
_space_group_name_Hall '-P 4 2 3'
_cell_length_a 4.608
_cell_length_b 4.608
_cell_length_c 4.608
_cell_angle_alpha 90.00
_cell_angle_beta 90.00
_cell_angle_gamma 90.00
loop_
_atom_site_label
_atom_site_type_symbol
_atom_site_fract_x
_atom_site_fract_y
_atom_site_fract_z
Mn1 Mn 0.000 0.000 0.000
Ag1 Ag 0.500 0.500 0.500
Ge1 Ge 0.000 0.000 0.500

Copy entry 2 word for word.
# MnAgGe3 | Alexandria via LeMat-Bulk | GGA-PBE | relaxed
# * energy of formation from the pure elements: 1.3 eV/f.u.
# * energy relative to the lowest polymorph listed for this composition: 0 meV/atom
data_MnAgGe3
_chemical_formula_sum 'Mn1 Ag1 Ge3'
_space_group_name_H-M_alt 'P m -3 m'
_space_group_IT_number 221
_space_group_name_Hall '-P 4 2 3'
_cell_length_a 4.608
_cell_length_b 4.608
_cell_length_c 4.608
_cell_angle_alpha 90.00
_cell_angle_beta 90.00
_cell_angle_gamma 90.00
loop_
_atom_site_label
_atom_site_type_symbol
_atom_site_fract_x
_atom_site_fract_y
_atom_site_fract_z
Mn1 Mn 0.000 0.000 0.000
Ag1 Ag 0.500 0.500 0.500
Ge1 Ge 0.000 0.000 0.500